A plane-wave DFT calculation with PBE was carried out for an optimized crystal structure of CaTlCr.

CIF file:
```
data_CaTlCr
_cell_length_a 5.0885
_cell_length_b 5.0885
_cell_length_c 5.0885
_cell_angle_alpha 60.00
_cell_angle_beta 60.00
_cell_angle_gamma 60.00
_space_group_name_H-M_alt 'P 1'
_space_group_IT_number 1
loop_
_space_group_symop_operation_xyz
'x,y,z'
loop_
_atom_site_label
_atom_site_fract_x
_atom_site_fract_y
_atom_site_fract_z
Cr1 0.0000 0.0000 0.0000
Tl1 0.5000 0.5000 0.5000
Ca1 0.7500 0.7500 0.7500
```

Values from the calculation:
Energy relative to the elements ... 2.3 eV per formula unit
SG ... No. 216

A plane-wave DFT calculation with PBE was carried out for an optimized crystal structure of GaSnBiSb.

CIF file:
```
data_GaSnBiSb
_cell_length_a 5.3224
_cell_length_b 5.3224
_cell_length_c 5.3224
_cell_angle_alpha 60.00
_cell_angle_beta 60.00
_cell_angle_gamma 60.00
_space_group_name_H-M_alt 'P 1'
_space_group_IT_number 1
loop_
_space_group_symop_operation_xyz
'x,y,z'
loop_
_atom_site_label
_atom_site_fract_x
_atom_site_fract_y
_atom_site_fract_z
Sb1 0.5000 0.5000 0.5000
Bi1 0.0000 0.0000 0.0000
Ga1 0.7500 0.7500 0.7500
Sn1 0.2500 0.2500 0.2500
```

Values from the calculation:
ΔE_f (raw) ... 0.1027 eV per atom
SG ... No. 216

A plane-wave DFT calculation with PBE was carried out for an optimized crystal structure of CdSnIr2I.

CIF file:
```
data_CdSnIr2I
_cell_length_a 4.9089
_cell_length_b 5.8929
_cell_length_c 4.9089
_cell_angle_alpha 90.00
_cell_angle_beta 90.00
_cell_angle_gamma 90.00
_space_group_name_H-M_alt 'P 1'
_space_group_IT_number 1
loop_
_space_group_symop_operation_xyz
'x,y,z'
loop_
_atom_site_label
_atom_site_fract_x
_atom_site_fract_y
_atom_site_fract_z
I1 0.0000 0.0000 0.0000
Ir1 0.0000 0.0000 0.5000
Ir2 0.5000 0.0000 0.0000
Sn1 0.0000 0.5000 0.0000
Cd1 0.5000 0.5000 0.5000
```

Values from the calculation:
ΔE_f (raw) ... 1.5526 eV per atom
SG ... No. 123

A plane-wave DFT calculation with PBE was carried out for an optimized crystal structure of Ta2TlCd.

CIF file:
```
data_Ta2TlCd
_cell_length_a 6.3621
_cell_length_b 5.4541
_cell_length_c 2.9357
_cell_angle_alpha 87.83
_cell_angle_beta 66.65
_cell_angle_gamma 118.46
_space_group_name_H-M_alt 'P 1'
_space_group_IT_number 1
loop_
_space_group_symop_operation_xyz
'x,y,z'
loop_
_atom_site_label
_atom_site_fract_x
_atom_site_fract_y
_atom_site_fract_z
Tl1 0.0000 0.5000 0.5000
Cd1 0.5000 0.5000 0.0000
Ta1 0.0000 0.0000 0.0000
Ta2 0.5000 0.0000 0.5000
```

Values from the calculation:
Energy relative to the elements ... 1.8 eV per formula unit
SG ... No. 12

A plane-wave DFT calculation with PBE was carried out for an optimized crystal structure of AcCuAgSn.

CIF file:
```
data_AcCuAgSn
_cell_length_a 5.1501
_cell_length_b 5.1501
_cell_length_c 5.1501
_cell_angle_alpha 60.00
_cell_angle_beta 60.00
_cell_angle_gamma 60.00
_space_group_name_H-M_alt 'P 1'
_space_group_IT_number 1
loop_
_space_group_symop_operation_xyz
'x,y,z'
loop_
_atom_site_label
_atom_site_fract_x
_atom_site_fract_y
_atom_site_fract_z
Ac1 0.2500 0.2500 0.2500
Cu1 0.0000 0.0000 0.0000
Sn1 0.7500 0.7500 0.7500
Ag1 0.5000 0.5000 0.5000
```

Values from the calculation:
Energy relative to the elements ... -1.1 eV per formula unit
SG ... No. 216

A plane-wave DFT calculation with PBE was carried out for an optimized crystal structure of NaV2Sn2.

CIF file:
```
data_NaV2Sn2
_cell_length_a 8.2791
_cell_length_b 8.2791
_cell_length_c 2.9150
_cell_angle_alpha 90.00
_cell_angle_beta 90.00
_cell_angle_gamma 90.00
_space_group_name_H-M_alt 'P 1'
_space_group_IT_number 1
loop_
_space_group_symop_operation_xyz
'x,y,z'
loop_
_atom_site_label
_atom_site_fract_x
_atom_site_fract_y
_atom_site_fract_z
Na1 0.0000 0.0000 0.0000
Na2 0.5000 0.5000 0.0000
Sn1 0.3173 0.8173 0.0000
Sn2 0.8173 0.6827 0.0000
Sn3 0.6827 0.1827 0.0000
Sn4 0.1827 0.3173 0.0000
V1 0.1045 0.6045 0.5000
V2 0.6045 0.8955 0.5000
V3 0.8955 0.3955 0.5000
V4 0.3955 0.1045 0.5000
```

Values from the calculation:
Distance to the lowest polymorph of the same formula ... 0.16 eV per formula unit
Energy relative to the elements ... 0.7 eV per formula unit
SG ... No. 127

A plane-wave DFT calculation with PBE was carried out for an optimized crystal structure of HfH.

CIF file:
```
data_HfH
_cell_length_a 5.1342
_cell_length_b 5.1342
_cell_length_c 3.7023
_cell_angle_alpha 90.00
_cell_angle_beta 90.00
_cell_angle_gamma 90.00
_space_group_name_H-M_alt 'P 1'
_space_group_IT_number 1
loop_
_space_group_symop_operation_xyz
'x,y,z'
loop_
_atom_site_label
_atom_site_fract_x
_atom_site_fract_y
_atom_site_fract_z
Hf1 0.7630 0.7630 0.0000
Hf2 0.2630 0.7370 0.5000
Hf3 0.7370 0.2630 0.5000
Hf4 0.2370 0.2370 0.0000
H1 0.8497 0.1503 0.0000
H2 0.3497 0.3497 0.5000
H3 0.6503 0.6503 0.5000
H4 0.1503 0.8497 0.0000
```

Values from the calculation:
SG ... No. 136

A plane-wave DFT calculation with PBE was carried out for an optimized crystal structure of In2Au3.

CIF file:
```
data_In2Au3
_cell_length_a 7.0610
_cell_length_b 7.0610
_cell_length_c 6.7475
_cell_angle_alpha 58.45
_cell_angle_beta 58.45
_cell_angle_gamma 60.00
_space_group_name_H-M_alt 'P 1'
_space_group_IT_number 1
loop_
_space_group_symop_operation_xyz
'x,y,z'
loop_
_atom_site_label
_atom_site_fract_x
_atom_site_fract_y
_atom_site_fract_z
Au1 0.9865 0.7500 0.7500
Au2 0.7500 0.5135 0.7500
Au3 0.5135 0.9865 0.7500
Au4 0.2500 0.4865 0.2500
Au5 0.4865 0.0135 0.2500
Au6 0.0135 0.2500 0.2500
In1 0.9024 0.9024 0.2928
In2 0.4024 0.4024 0.7928
In3 0.0976 0.0976 0.7072
In4 0.5976 0.5976 0.2072
```

Values from the calculation:
Distance to the lowest polymorph of the same formula ... 0.56 eV per formula unit
Energy relative to the elements ... -0.2 eV per formula unit
SG ... No. 167

A plane-wave DFT calculation with PBE was carried out for an optimized crystal structure of Ca5Pa3Bi8.

CIF file:
```
data_Ca5Pa3Bi8
_cell_length_a 9.1602
_cell_length_b 9.1602
_cell_length_c 9.1191
_cell_angle_alpha 59.85
_cell_angle_beta 59.85
_cell_angle_gamma 60.00
_space_group_name_H-M_alt 'P 1'
_space_group_IT_number 1
loop_
_space_group_symop_operation_xyz
'x,y,z'
loop_
_atom_site_label
_atom_site_fract_x
_atom_site_fract_y
_atom_site_fract_z
Ca1 0.5000 0.0000 0.0000
Ca2 0.5000 0.5000 0.0000
Ca3 0.0000 0.0000 0.0000
Ca4 0.0000 0.5000 0.0000
Ca5 0.5000 0.5000 0.5000
Pa1 0.5000 0.0000 0.5000
Pa2 0.0000 0.0000 0.5000
Pa3 0.0000 0.5000 0.5000
Bi1 0.2500 0.2500 0.7366
Bi2 0.2500 0.7634 0.7366
Bi3 0.7634 0.2500 0.7366
Bi4 0.7540 0.7540 0.7379
Bi5 0.7500 0.7500 0.2634
Bi6 0.7500 0.2366 0.2634
Bi7 0.2366 0.7500 0.2634
Bi8 0.2460 0.2460 0.2621
```

Values from the calculation:
Energy relative to the elements ... -8.9 eV per formula unit
SG ... No. 166

A plane-wave DFT calculation with PBE was carried out for an optimized crystal structure of Ac2PaGa.

CIF file:
```
data_Ac2PaGa
_cell_length_a 3.5335
_cell_length_b 3.5335
_cell_length_c 12.1904
_cell_angle_alpha 81.67
_cell_angle_beta 81.67
_cell_angle_gamma 60.00
_space_group_name_H-M_alt 'P 1'
_space_group_IT_number 1
loop_
_space_group_symop_operation_xyz
'x,y,z'
loop_
_atom_site_label
_atom_site_fract_x
_atom_site_fract_y
_atom_site_fract_z
Ac1 0.0955 0.0955 0.7135
Ac2 0.9045 0.9045 0.2865
Pa1 0.0000 0.0000 0.0000
Ga1 0.5000 0.5000 0.5000
```

Values from the calculation:
Distance to the lowest polymorph of the same formula ... 1.21 eV per formula unit
Energy relative to the elements ... 1.6 eV per formula unit
SG ... No. 166

A plane-wave DFT calculation with PBE was carried out for an optimized crystal structure of Ba8TlAg2.

CIF file:
```
data_Ba8TlAg2
_cell_length_a 6.9709
_cell_length_b 9.3425
_cell_length_c 9.3425
_cell_angle_alpha 111.02
_cell_angle_beta 98.91
_cell_angle_gamma 98.91
_space_group_name_H-M_alt 'P 1'
_space_group_IT_number 1
loop_
_space_group_symop_operation_xyz
'x,y,z'
loop_
_atom_site_label
_atom_site_fract_x
_atom_site_fract_y
_atom_site_fract_z
Ba1 0.5785 0.3341 0.0734
Ba2 0.5785 0.0734 0.3341
Ba3 0.1829 0.3673 0.3673
Ba4 0.9860 0.2262 0.7703
Ba5 0.9860 0.7703 0.2262
Ba6 0.7999 0.6398 0.6398
Ba7 0.3849 0.9355 0.6707
Ba8 0.3849 0.6707 0.9355
Tl1 0.1393 0.0081 0.0081
Ag1 0.4893 0.6902 0.3183
Ag2 0.4893 0.3183 0.6902
```

Values from the calculation:
Distance to the lowest polymorph of the same formula ... 0.31 eV per formula unit
Energy relative to the elements ... -1.2 eV per formula unit
SG ... No. 8

no.,DFT total energy (eV/atom),M_tot (μB per formula unit)
1,-3.91,4.42
2,-3.66,0.00
3,-3.29,0.01
4,-6.28,0.00
5,-4.04,0.00
6,-5.36,0.00
7,-6.94,0.00
8,-3.11,0.00
9,-4.90,1.18
10,-4.80,0.00
11,-2.24,0.00